Entry 1:
The following is a PBE calculation of LaNdGa3 after structural relaxation, from the Alexandria database.

Cell and atoms, written as CIF:
```
data_LaNdGa3
_chemical_formula_sum 'La4 Nd4 Ga12'
_space_group_name_H-M_alt 'C m c m'
_space_group_IT_number 63
_space_group_name_Hall '-C 2c 2'
_cell_length_a 4.4516
_cell_length_b 26.3913
_cell_length_c 4.2811
_cell_angle_alpha 90.00
_cell_angle_beta 90.00
_cell_angle_gamma 90.00
loop_
_atom_site_label
_atom_site_fract_x
_atom_site_fract_y
_atom_site_fract_z
La1 0.0000 0.0729 0.2500
Nd1 0.0000 0.2031 0.7500
Ga1 0.0000 0.3264 0.7500
Ga2 0.0000 0.3810 0.2500
Ga3 0.0000 0.4763 0.2500
```

Computed properties:
For the energy of formation from the pure elements, the calculation gives -0.662 eV per atom. Its total magnetization is 0.0000 μB per atom.

Entry 2:
The following is a PBE calculation of La6NdGa2 after structural relaxation, from the Alexandria database.

Cell and atoms, written as CIF:
```
data_La6NdGa2
_chemical_formula_sum 'La12 Nd2 Ga4'
_space_group_name_H-M_alt 'C 1 2/m 1'
_space_group_IT_number 12
_cell_length_a 13.1656
_cell_length_b 3.8634
_cell_length_c 12.0762
_cell_angle_alpha 90.00
_cell_angle_beta 108.56
_cell_angle_gamma 90.00
loop_
_space_group_symop_operation_xyz
'x,y,z'
'-x,-y,-z'
'-x,y,-z'
'x,-y,z'
'x+1/2,y+1/2,z'
'-x+1/2,-y+1/2,-z'
'-x+1/2,y+1/2,-z'
'x+1/2,-y+1/2,z'
loop_
_atom_site_label
_atom_site_fract_x
_atom_site_fract_y
_atom_site_fract_z
La1 0.0315 0.0000 0.3264
La2 0.1843 0.5000 0.8758
La3 0.1927 0.5000 0.5987
Nd1 0.0000 0.0000 0.0000
Ga1 0.1491 0.5000 0.1916
```

Computed properties:
For the energy of formation from the pure elements, the calculation gives -0.246 eV per atom. Its total magnetization is 0.0000 μB per atom.

Entry 3:
The following is a PBE calculation of La3Nd4Ga after structural relaxation, from the Alexandria database.

Cell and atoms, written as CIF:
```
data_La3Nd4Ga
_chemical_formula_sum 'La3 Nd4 Ga1'
_space_group_name_H-M_alt 'P 4/m m m'
_space_group_IT_number 123
_space_group_name_Hall '-P 4 2'
_cell_length_a 3.7095
_cell_length_b 3.7095
_cell_length_c 19.4227
_cell_angle_alpha 90.00
_cell_angle_beta 90.00
_cell_angle_gamma 90.00
loop_
_atom_site_label
_atom_site_fract_x
_atom_site_fract_y
_atom_site_fract_z
La1 0.0000 0.0000 0.0000
La2 0.0000 0.0000 0.2703
Nd1 0.5000 0.5000 0.1347
Nd2 0.5000 0.5000 0.4059
Ga1 0.0000 0.0000 0.5000
```

Computed properties:
For the energy of formation from the pure elements, the calculation gives -0.120 eV per atom. Its total magnetization is 0.0002 μB per atom.

Entry 4:
The following is a PBE calculation of La2NdGa2 after structural relaxation, from the Alexandria database.

Cell and atoms, written as CIF:
```
data_La2NdGa2
_chemical_formula_sum 'La4 Nd2 Ga4'
_space_group_name_H-M_alt 'I m m m'
_space_group_IT_number 71
_space_group_name_Hall '-I 2 2'
_cell_length_a 4.9545
_cell_length_b 6.9698
_cell_length_c 8.2270
_cell_angle_alpha 90.00
_cell_angle_beta 90.00
_cell_angle_gamma 90.00
loop_
_atom_site_label
_atom_site_fract_x
_atom_site_fract_y
_atom_site_fract_z
La1 0.0000 0.0000 0.1942
Nd1 0.0000 0.5000 0.0000
Ga1 0.0000 0.3015 0.5000
```

Computed properties:
For the energy of formation from the pure elements, the calculation gives -0.467 eV per atom. Its total magnetization is 0.0000 μB per atom.

Entry 5:
The following is a PBE calculation of La2Nd3Ga4 after structural relaxation, from the Alexandria database.

Cell and atoms, written as CIF:
```
data_La2Nd3Ga4
_chemical_formula_sum 'La4 Nd6 Ga8'
_space_group_name_H-M_alt 'P 1 21/c 1'
_space_group_IT_number 14
_cell_length_a 8.3078
_cell_length_b 8.2760
_cell_length_c 7.7225
_cell_angle_alpha 90.00
_cell_angle_beta 105.84
_cell_angle_gamma 90.00
loop_
_space_group_symop_operation_xyz
'x,y,z'
'-x,-y,-z'
'-x,y+1/2,-z+1/2'
'x,-y+1/2,z+1/2'
loop_
_atom_site_label
_atom_site_fract_x
_atom_site_fract_y
_atom_site_fract_z
La1 0.1888 0.1819 0.0717
Nd1 0.2369 0.6759 0.2526
Nd2 0.5000 0.0000 0.5000
Ga1 0.0786 0.5309 0.8706
Ga2 0.4914 0.1193 0.8827
```

Computed properties:
The energy above the most stable polymorph in this dataset is 0 meV per atom. For the energy of formation from the pure elements, the calculation gives -0.530 eV per atom. Its total magnetization is 0.0000 μB per atom.

Entry 6:
The following is a PBE calculation of La2NdGa4 after structural relaxation, from the Alexandria database.

Cell and atoms, written as CIF:
```
data_La2NdGa4
_chemical_formula_sum 'La4 Nd2 Ga8'
_space_group_name_H-M_alt 'I m m m'
_space_group_IT_number 71
_space_group_name_Hall '-I 2 2'
_cell_length_a 4.2559
_cell_length_b 4.4321
_cell_length_c 19.1808
_cell_angle_alpha 90.00
_cell_angle_beta 90.00
_cell_angle_gamma 90.00
loop_
_atom_site_label
_atom_site_fract_x
_atom_site_fract_y
_atom_site_fract_z
La1 0.0000 0.0000 0.1841
Nd1 0.0000 0.5000 0.5000
Ga1 0.0000 0.0000 0.3621
Ga2 0.0000 0.5000 0.0643
```

Computed properties:
For the energy of formation from the pure elements, the calculation gives -0.634 eV per atom. Its total magnetization is 0.0000 μB per atom.

Entry 7:
The following is a PBE calculation of LaNd5Ga3 after structural relaxation, from the Alexandria database.

Cell and atoms, written as CIF:
```
data_LaNd5Ga3
_chemical_formula_sum 'La2 Nd10 Ga6'
_space_group_name_H-M_alt 'P 63/m c m'
_space_group_IT_number 193
_space_group_name_Hall '-P 6c 2'
_cell_length_a 9.2265
_cell_length_b 9.2265
_cell_length_c 6.8688
_cell_angle_alpha 90.00
_cell_angle_beta 90.00
_cell_angle_gamma 120.00
loop_
_atom_site_label
_atom_site_fract_x
_atom_site_fract_y
_atom_site_fract_z
La1 0.0000 0.0000 0.0000
Nd1 0.0000 0.3295 0.2500
Nd2 0.3333 0.6667 0.0000
Ga1 0.0000 0.3393 0.7500
```

Computed properties:
For the energy of formation from the pure elements, the calculation gives -0.358 eV per atom. Its total magnetization is 0.0000 μB per atom.

Entry 8:
The following is a PBE calculation of LaNdGa2 after structural relaxation, from the Alexandria database.

Cell and atoms, written as CIF:
```
data_LaNdGa2
_chemical_formula_sum 'La1 Nd1 Ga2'
_space_group_name_H-M_alt 'P 4/m m m'
_space_group_IT_number 123
_space_group_name_Hall '-P 4 2'
_cell_length_a 3.7358
_cell_length_b 3.7358
_cell_length_c 7.4647
_cell_angle_alpha 90.00
_cell_angle_beta 90.00
_cell_angle_gamma 90.00
loop_
_atom_site_label
_atom_site_fract_x
_atom_site_fract_y
_atom_site_fract_z
La1 0.0000 0.0000 0.0000
Nd1 0.0000 0.0000 0.5000
Ga1 0.5000 0.5000 0.2598
```

Computed properties:
The energy above the most stable polymorph in this dataset is 24 meV per atom. For the energy of formation from the pure elements, the calculation gives -0.566 eV per atom. Its total magnetization is 0.0000 μB per atom.